# 1
{"formula": "FeCoCl2", "functional": "GGA-PBE", "state": "optimized geometry", "e_form_raw_ev_per_atom": 0.30, "space_group": "C2/m (12)", "m_tot_mub_per_fu": 5.01, "lattice_angstrom": [[3.029, -3.775, 0.000], [3.029, 3.775, 0.000], [-1.448, 0.000, 2.939]], "species": ["Fe", "Co", "Cl", "Cl"], "fractional_positions": [[0.000, 0.000, 0.000], [0.500, 0.500, 0.000], [0.000, 0.500, 0.000], [0.500, 0.000, 0.000]]}

# 2
{"formula": "Sr2SmCu2S4", "functional": "GGA-PBE", "state": "optimized geometry", "e_form_raw_ev_per_atom": -1.35, "space_group": "C2/m (12)", "m_tot_mub_per_fu": 0.00, "lattice_angstrom": [[7.300, -1.948, 0.000], [7.300, 1.948, 0.000], [-2.515, 0.000, 6.762]], "species": ["Sr", "Sr", "Sm", "Cu", "Cu", "S", "S", "S", "S"], "fractional_positions": [[0.133, 0.133, 0.072], [0.867, 0.867, 0.928], [0.000, 0.000, 0.500], [0.316, 0.316, 0.499], [0.684, 0.684, 0.501], [0.206, 0.206, 0.709], [0.470, 0.470, 0.755], [0.530, 0.530, 0.245], [0.794, 0.794, 0.291]]}